# Y5Ho2Sc4 PBE relaxed
# polymorph energy (0 for the lowest one)	0	meV per atom
# formation enthalpy at 0 K	0.098	eV/atom
# N(E_F)	16.40	states/eV/cell
# total DFT energy (no corrections)	-5.975	eV/atom
# total magnetic moment	0.000	μB per atom
data_Y5Ho2Sc4
_chemical_formula_sum 'Y5 Ho2 Sc4'
_cell_length_a 8.731
_cell_length_b 3.505
_cell_length_c 10.767
_cell_angle_alpha 90.00
_cell_angle_beta 94.67
_cell_angle_gamma 90.00
_space_group_name_H-M_alt 'P 1 2/m 1'
_space_group_IT_number 10
loop_
_space_group_symop_operation_xyz
'x,y,z'
'-x,-y,-z'
'-x,y,-z'
'x,-y,z'
loop_
_atom_site_label
_atom_site_type_symbol
_atom_site_fract_x
_atom_site_fract_y
_atom_site_fract_z
Y1 Y 0.000 0.000 0.000
Y2 Y 0.047 0.000 0.335
Y3 Y 0.354 0.000 0.868
Ho1 Ho 0.424 0.000 0.364
Sc1 Sc 0.257 0.500 0.575
Sc2 Sc 0.298 0.500 0.131

=====

# DyIn2Pb PBE relaxed
# polymorph energy (0 for the lowest one)	52	meV per atom
# formation enthalpy at 0 K	-0.299	eV/atom
# N(E_F)	9.38	states/eV/cell
# total DFT energy (no corrections)	-3.746	eV/atom
# total magnetic moment	0.000	μB per atom
data_DyIn2Pb
_chemical_formula_sum 'Dy4 In8 Pb4'
_cell_length_a 6.464
_cell_length_b 7.902
_cell_length_c 8.416
_cell_angle_alpha 90.00
_cell_angle_beta 90.00
_cell_angle_gamma 90.00
_space_group_name_H-M_alt 'I m m a'
_space_group_IT_number 74
_space_group_name_Hall '-I 2b 2'
loop_
_atom_site_label
_atom_site_type_symbol
_atom_site_fract_x
_atom_site_fract_y
_atom_site_fract_z
Dy1 Dy 0.000 0.250 0.055
In1 In 0.250 0.053 0.750
Pb1 Pb 0.000 0.250 0.454

=====

# BaTl2Sb PBE relaxed
# polymorph energy (0 for the lowest one)	36	meV per atom
# N(E_F)	3.76	states/eV/cell
# total DFT energy (no corrections)	-3.149	eV/atom
# total magnetic moment	0.000	μB per atom
data_BaTl2Sb
_chemical_formula_sum 'Ba2 Tl4 Sb2'
_cell_length_a 7.247
_cell_length_b 5.134
_cell_length_c 7.784
_cell_angle_alpha 90.00
_cell_angle_beta 103.34
_cell_angle_gamma 90.00
_space_group_name_H-M_alt 'P 1 21/m 1'
_space_group_IT_number 11
loop_
_space_group_symop_operation_xyz
'x,y,z'
'-x,-y,-z'
'-x,y+1/2,-z'
'x,-y+1/2,z'
loop_
_atom_site_label
_atom_site_type_symbol
_atom_site_fract_x
_atom_site_fract_y
_atom_site_fract_z
Ba1 Ba 0.226 0.250 0.398
Tl1 Tl 0.113 0.250 0.880
Tl2 Tl 0.392 0.750 0.129
Sb1 Sb 0.295 0.750 0.716

=====

# SrCoCl PBE relaxed
# N(E_F)	4.46	states/eV/cell
# total DFT energy (no corrections)	-3.914	eV/atom
# total magnetic moment	0.564	μB per atom
data_SrCoCl
_chemical_formula_sum 'Sr2 Co2 Cl2'
_cell_length_a 4.271
_cell_length_b 4.271
_cell_length_c 9.038
_cell_angle_alpha 90.00
_cell_angle_beta 90.00
_cell_angle_gamma 90.00
_space_group_name_H-M_alt 'P 4/n m m'
_space_group_IT_number 129
loop_
_space_group_symop_operation_xyz
'x,y,z'
'-x,-y,-z'
'-y+1/2,x,z'
'y+1/2,-x,-z'
'-x+1/2,-y+1/2,z'
'x+1/2,y+1/2,-z'
'y,-x+1/2,z'
'-y,x+1/2,-z'
'x+1/2,-y,-z'
'-x+1/2,y,z'
'-y,-x,-z'
'y,x,z'
'-x,y+1/2,-z'
'x,-y+1/2,z'
'y+1/2,x+1/2,-z'
'-y+1/2,-x+1/2,z'
loop_
_atom_site_label
_atom_site_type_symbol
_atom_site_fract_x
_atom_site_fract_y
_atom_site_fract_z
Sr1 Sr 0.250 0.250 0.213
Co1 Co 0.250 0.250 0.528
Cl1 Cl 0.250 0.750 0.000

=====

# MnHgS2 PBE relaxed
# polymorph energy (0 for the lowest one)	163	meV per atom
# N(E_F)	5.13	states/eV/cell
# total DFT energy (no corrections)	-4.680	eV/atom
# total magnetic moment	0.692	μB per atom
data_MnHgS2
_chemical_formula_sum 'Mn4 Hg4 S8'
_cell_length_a 6.558
_cell_length_b 5.342
_cell_length_c 11.597
_cell_angle_alpha 90.00
_cell_angle_beta 121.61
_cell_angle_gamma 90.00
_space_group_name_H-M_alt 'P 1 21/c 1'
_space_group_IT_number 14
loop_
_space_group_symop_operation_xyz
'x,y,z'
'-x,-y,-z'
'-x,y+1/2,-z+1/2'
'x,-y+1/2,z+1/2'
loop_
_atom_site_label
_atom_site_type_symbol
_atom_site_fract_x
_atom_site_fract_y
_atom_site_fract_z
Mn1 Mn 0.000 0.002 0.250
Hg1 Hg 0.169 0.249 0.995
S1 S 0.273 0.248 0.738
S2 S 0.298 0.748 0.903

=====

# RbHg2PtCl8 PBE relaxed
# N(E_F)	3.63	states/eV/cell
# total DFT energy (no corrections)	-2.554	eV/atom
# total magnetic moment	0.067	μB per atom
data_RbHg2PtCl8
_chemical_formula_sum 'Rb1 Hg2 Pt1 Cl8'
_cell_length_a 7.1800
_cell_length_b 7.1800
_cell_length_c 8.1470
_cell_angle_alpha 90.00
_cell_angle_beta 90.00
_cell_angle_gamma 120.00
_space_group_name_H-M_alt 'P -3 m 1'
_space_group_IT_number 164
_space_group_name_Hall '-P 3 2"'
loop_
_atom_site_label
_atom_site_type_symbol
_atom_site_fract_x
_atom_site_fract_y
_atom_site_fract_z
Rb1 Rb 0.0000 0.0000 0.0000
Hg1 Hg 0.3333 0.6667 0.4508
Pt1 Pt 0.0000 0.0000 0.5000
Cl1 Cl 0.1641 0.3282 0.6617
Cl2 Cl 0.3333 0.6667 0.1595

=====

# Mn2Si PBE relaxed
# N(E_F)	14.25	states/eV/cell
# total DFT energy (no corrections)	-8.040	eV/atom
# total magnetic moment	0.001	μB per atom
data_Mn2Si
_chemical_formula_sum 'Mn8 Si4'
_cell_length_a 2.595
_cell_length_b 12.331
_cell_length_c 4.181
_cell_angle_alpha 90.00
_cell_angle_beta 90.00
_cell_angle_gamma 90.00
_space_group_name_H-M_alt 'C m c m'
_space_group_IT_number 63
_space_group_name_Hall '-C 2c 2'
loop_
_atom_site_label
_atom_site_type_symbol
_atom_site_fract_x
_atom_site_fract_y
_atom_site_fract_z
Mn1 Mn 0.000 0.051 0.250
Mn2 Mn 0.000 0.387 0.250
Si1 Si 0.000 0.281 0.750

=====

# La2Tm2Ag PBE relaxed
# formation enthalpy at 0 K	-0.099	eV/atom
# N(E_F)	14.63	states/eV/cell
# total DFT energy (no corrections)	-4.428	eV/atom
# total magnetic moment	0.001	μB per atom
data_La2Tm2Ag
_chemical_formula_sum 'La4 Tm4 Ag2'
_cell_length_a 3.654
_cell_length_b 3.654
_cell_length_c 22.471
_cell_angle_alpha 90.00
_cell_angle_beta 90.00
_cell_angle_gamma 90.00
_space_group_name_H-M_alt 'I 4/m m m'
_space_group_IT_number 139
_space_group_name_Hall '-I 4 2'
loop_
_atom_site_label
_atom_site_type_symbol
_atom_site_fract_x
_atom_site_fract_y
_atom_site_fract_z
La1 La 0.000 0.000 0.190
Tm1 Tm 0.000 0.000 0.423
Ag1 Ag 0.000 0.000 0.000